1.
A plane-wave DFT calculation with PBE-GGA was carried out for a geometry-optimized CsMnAuCl6 structure.

SG = P1, No. 1

Cell: 6.5816 6.6388 7.6229 Å, 93.83 94.73 110.42°
Element x y z (fractional)
Cs 0.0000 0.0000 0.0000
Mn 0.6459 0.3516 0.4979
Au 0.3000 0.6972 0.5013
Cl 0.3435 0.0317 0.6706
Cl 0.3587 0.4019 0.3197
Cl 0.5991 0.6311 0.6816
Cl 0.6411 0.0912 0.2936
Cl 0.9123 0.3473 0.6980
Cl 0.9602 0.6579 0.3313

2.
A plane-wave DFT calculation with PBE-GGA was carried out for a geometry-optimized Cs2MoAuCl6 structure.

SG = I4/mmm, No. 139

Cell: 7.4555 7.4555 7.4555 Å, 115.46 115.46 98.07°
Element x y z (fractional)
Cs 0.2500 0.7500 0.5000
Cs 0.7500 0.2500 0.5000
Mo 0.0000 0.0000 0.0000
Au 0.5000 0.5000 0.0000
Cl 0.2180 0.2180 0.4360
Cl 0.2180 0.7820 0.0000
Cl 0.2580 0.2580 0.0000
Cl 0.7420 0.7420 0.0000
Cl 0.7820 0.2180 0.0000
Cl 0.7820 0.7820 0.5640

3.
A plane-wave DFT calculation with PBE-GGA was carried out for a geometry-optimized Cs2NaAuCl6 structure.

SG = I4/mmm, No. 139

Cell: 7.5212 7.5212 7.5212 Å, 118.86 118.86 91.98°
Element x y z (fractional)
Cs 0.2500 0.7500 0.5000
Cs 0.7500 0.2500 0.5000
Na 0.0000 0.0000 0.0000
Au 0.5000 0.5000 0.0000
Cl 0.2555 0.2555 0.5110
Cl 0.2555 0.7445 0.0000
Cl 0.2752 0.2752 0.0000
Cl 0.7248 0.7248 0.0000
Cl 0.7445 0.2555 0.0000
Cl 0.7445 0.7445 0.4890

4.
A plane-wave DFT calculation with PBE-GGA was carried out for a geometry-optimized CsNaAuCl3 structure.

SG = C2/m, No. 12

Cell: 9.3178 9.3178 6.8712 Å, 100.92 100.92 46.23°
Element x y z (fractional)
Cs 0.2419 0.2419 0.2094
Cs 0.7581 0.7581 0.7906
Na 0.4336 0.4336 0.8148
Na 0.5664 0.5664 0.1852
Au 0.2445 0.7555 0.5000
Au 0.7555 0.2445 0.5000
Cl 0.1865 0.6801 0.1738
Cl 0.2805 0.2805 0.7225
Cl 0.3199 0.8135 0.8262
Cl 0.6801 0.1865 0.1738
Cl 0.7195 0.7195 0.2775
Cl 0.8135 0.3199 0.8262

5.
A plane-wave DFT calculation with PBE-GGA was carried out for a geometry-optimized Cs2NbAuCl6 structure.

SG = I4/mmm, No. 139

Cell: 7.5603 7.5603 7.5603 Å, 115.35 115.35 98.27°
Element x y z (fractional)
Cs 0.2500 0.7500 0.5000
Cs 0.7500 0.2500 0.5000
Nb 0.0000 0.0000 0.0000
Au 0.5000 0.5000 0.0000
Cl 0.2168 0.2168 0.4336
Cl 0.2168 0.7832 0.0000
Cl 0.2628 0.2628 0.0000
Cl 0.7372 0.7372 0.0000
Cl 0.7832 0.2168 0.0000
Cl 0.7832 0.7832 0.5664

6.
A plane-wave DFT calculation with PBE-GGA was carried out for a geometry-optimized Cs2NdAuCl6 structure.

SG = P-1, No. 2

Cell: 7.8357 7.8386 7.8441 Å, 115.01 115.08 98.77°
Element x y z (fractional)
Cs 0.2501 0.2501 0.9998
Cs 0.7499 0.7499 0.0002
Nd 0.0000 0.5000 0.5000
Au 0.5000 0.0000 0.5000
Cl 0.2278 0.7276 0.9554
Cl 0.2288 0.2727 0.5005
Cl 0.2702 0.7713 0.5000
Cl 0.7298 0.2287 0.5000
Cl 0.7712 0.7273 0.4995
Cl 0.7722 0.2724 0.0446

7.
A plane-wave DFT calculation with PBE-GGA was carried out for a geometry-optimized CsNiAuCl6 structure.

SG = P312, No. 149

Cell: 6.4458 6.4458 7.8792 Å, 90.00 90.00 120.00°
Element x y z (fractional)
Cs 0.0000 0.0000 0.0000
Ni 0.6667 0.3333 0.5000
Au 0.3333 0.6667 0.5000
Cl 0.3754 0.0165 0.6754
Cl 0.3754 0.3590 0.3246
Cl 0.6410 0.0165 0.3246
Cl 0.6410 0.6246 0.6754
Cl 0.9835 0.3590 0.6754
Cl 0.9835 0.6246 0.3246

8.
A plane-wave DFT calculation with PBE-GGA was carried out for a geometry-optimized Cs6AuClO structure.

SG = P312, No. 149

Cell: 8.4327 8.4327 8.1581 Å, 90.00 90.00 120.00°
Element x y z (fractional)
Cs 0.0036 0.2888 0.2131
Cs 0.0036 0.7148 0.7869
Cs 0.2852 0.2888 0.7869
Cs 0.2852 0.9964 0.2131
Cs 0.7112 0.7148 0.2131
Cs 0.7112 0.9964 0.7869
Au 0.3333 0.6667 0.5000
Cl 0.6667 0.3333 0.0000
O 0.0000 0.0000 0.0000

Calculated energy, -32.92; -38.35; -29.64; -37.14; -38.71; -38.07; -27.18; -22.47 eV per cell (same order as the records).
Calculated mass density, 3.21; 4.13; 3.79; 3.62; 3.95; 3.76; 3.52; 3.46 g cm⁻³ (same order as the records).
Calculated formation energy without anion corrections, -949; -1146; -1226; -1263; -1257; -1724; -688; -808 meV per atom (same order as the records).